## GaNiC3 (PBE-GGA)

Data for crystalline GaNiC3 at its relaxed geometry.

The calculation puts the formation energy from the elements at 2.864 eV/atom. Its calculated volume is 61 Å³ per cell. The total energy comes out at -22.2 eV for the cell shown. For the density of states at the Fermi level, the calculation gives 3.0 states/eV/f.u. The value obtained for the polymorph energy (0 for the lowest one) is 629 meV per atom. For the magnetization, the calculation gives 0.000 μB/atom.

Cell lengths 3.9269, 3.9269, 3.9269 Å; angles 90.00, 90.00, 90.00 degrees
Element x y z (fractional)
C  0.0000  0.0000  0.5000
Ni  0.5000  0.5000  0.5000
Ga  0.0000  0.0000  0.0000
C  0.5000  0.0000  0.0000
C  0.0000  0.5000  0.0000


## AgBr (PBE-GGA)

Data for crystalline AgBr at its relaxed geometry.

Its calculated volume is 57 Å³ per cell. The total energy comes out at -5.0 eV for the cell shown. The value obtained for the uncorrected formation energy is -214 meV/atom. For the density of states at the Fermi level, the calculation gives 0.3 states/eV/f.u. For the magnetization, the calculation gives 0.000 μB/atom.

Cell lengths 4.1915, 4.1915, 3.8747 Å; angles 90.00, 90.00, 122.91 degrees
Element x y z (fractional)
Br  0.5000  0.5000  0.5000
Ag  0.0000  0.0000  0.0000


## Zr2CuAu (PBE-GGA)

Data for crystalline Zr2CuAu at its relaxed geometry.

The calculation puts the formation energy from the elements at -0.261 eV/atom. Its calculated volume is 76 Å³ per cell. The total energy comes out at -25.5 eV for the cell shown. For the density of states at the Fermi level, the calculation gives 4.5 states/eV/f.u. For the magnetization, the calculation gives 0.000 μB/atom.

Cell lengths 4.9139, 4.9139, 3.2595 Å; angles 90.00, 90.00, 105.75 degrees
Element x y z (fractional)
Au  0.5000  0.0000  0.5000
Cu  0.0000  0.5000  0.5000
Zr  0.5000  0.5000  0.0000
Zr  0.0000  0.0000  0.0000


## Ba2Y3PbO8 (PBE-GGA)

Data for crystalline Ba2Y3PbO8 at its relaxed geometry.

Its calculated volume is 271 Å³ per cell. The total energy comes out at -104.9 eV for the cell shown. The value obtained for the uncorrected formation energy is -2734 meV/atom. For the density of states at the Fermi level, the calculation gives 2.5 states/eV/f.u. For the magnetization, the calculation gives 0.057 μB/atom.

Cell lengths 7.0292, 7.0292, 7.5139 Å; angles 62.11, 62.11, 60.00 degrees
Element x y z (fractional)
Y  0.4957  0.4957  0.9982
O  0.2509  0.6911  0.8070
O  0.2693  0.2693  0.1922
Ba  0.4987  0.4988  0.5038
Ba  0.1244  0.1244  0.6268
O  0.7613  0.7613  0.2043
O  0.6911  0.2509  0.8070
O  0.7174  0.7174  0.8478
Pb  0.8923  0.8923  0.3231
O  0.2732  0.7613  0.2043
Y  0.4957  0.0105  0.9982
O  0.2509  0.2509  0.8070
O  0.7613  0.2732  0.2043
Y  0.0105  0.4957  0.9982


Which formula does entry 2 have? AgBr


Among the records above, which one has the highest calculated volume? Ba2Y3PbO8